Material: Ca3SnF6
Method: DFT, PBE
State: relaxed

The structure in CIF format:
```
data_Ca3SnF6
_space_group_name_H-M_alt 'P -1'
_space_group_IT_number 2
_cell_length_a 3.346
_cell_length_b 7.712
_cell_length_c 7.776
_cell_angle_alpha 117.52
_cell_angle_beta 99.08
_cell_angle_gamma 97.69
loop_
_space_group_symop_operation_xyz
'x,y,z'
'-x,-y,-z'
loop_
_atom_site_label
_atom_site_type_symbol
_atom_site_fract_x
_atom_site_fract_y
_atom_site_fract_z
Ca1 Ca 0.000 0.000 0.000
Ca2 Ca 0.000 0.500 0.500
Ca3 Ca 0.500 0.000 0.500
Sn1 Sn 0.000 0.500 0.000
F1 F 0.078 0.223 0.551
F2 F 0.354 0.328 0.280
F3 F 0.462 0.047 0.826
```

Properties
- M_tot: 0.00 μB/f.u.
- Uncorrected formation energy: -3.21 eV/atom
- Energy: -0.1958 Ha/atom

=====

Material: RbNa2CeI6
Method: DFT, PBE
State: relaxed

The structure in CIF format:
```
data_RbNa2CeI6
_space_group_name_H-M_alt 'R 3'
_space_group_IT_number 146
_space_group_name_Hall 'R 3'
_cell_length_a 8.3203
_cell_length_b 8.3203
_cell_length_c 22.8236
_cell_angle_alpha 90.00
_cell_angle_beta 90.00
_cell_angle_gamma 120.00
loop_
_atom_site_label
_atom_site_type_symbol
_atom_site_fract_x
_atom_site_fract_y
_atom_site_fract_z
Rb1 Rb 0.0000 0.0000 0.0000
Na1 Na 0.0000 0.0000 0.2917
Na2 Na 0.0000 0.0000 0.8051
Ce1 Ce 0.0000 0.0000 0.4812
I1 I 0.0031 0.3415 0.2192
I2 I 0.0160 0.6066 0.0590
```

Properties
- M_tot: 1.00 μB/f.u.
- Uncorrected formation energy: -1.33 eV/atom
- Energy: -0.1182 Ha/atom

=====

Material: TiNi3C
Method: DFT, PBE
State: relaxed

The structure in CIF format:
```
data_TiNi3C
_space_group_name_H-M_alt 'P m -3 m'
_space_group_IT_number 221
_space_group_name_Hall '-P 4 2 3'
_cell_length_a 4.275
_cell_length_b 4.275
_cell_length_c 4.275
_cell_angle_alpha 90.00
_cell_angle_beta 90.00
_cell_angle_gamma 90.00
loop_
_atom_site_label
_atom_site_type_symbol
_atom_site_fract_x
_atom_site_fract_y
_atom_site_fract_z
Ti1 Ti 0.000 0.000 0.000
Ni1 Ni 0.000 0.000 0.500
C1 C 0.500 0.500 0.500
```

Properties
- M_tot: 0.00 μB/f.u.
- E_form: 210.07 kJ per mole of atoms
- Energy: -0.1733 Ha/atom

=====

Material: LaTbEuHo
Method: DFT, PBE
State: relaxed

The structure in CIF format:
```
data_LaTbEuHo
_space_group_name_H-M_alt 'F -4 3 m'
_space_group_IT_number 216
_space_group_name_Hall 'F -4 2 3'
_cell_length_a 8.249
_cell_length_b 8.249
_cell_length_c 8.249
_cell_angle_alpha 90.00
_cell_angle_beta 90.00
_cell_angle_gamma 90.00
loop_
_atom_site_label
_atom_site_type_symbol
_atom_site_fract_x
_atom_site_fract_y
_atom_site_fract_z
La1 La 0.000 0.000 0.000
Tb1 Tb 0.000 0.000 0.500
Eu1 Eu 0.250 0.250 0.250
Ho1 Ho 0.250 0.250 0.750
```

Properties
- M_tot: 7.99 μB/f.u.
- E_form: 13.79 kJ per mole of atoms
- Energy: -0.2190 Ha/atom

=====

Material: BaPt2Au4
Method: DFT, PBE
State: relaxed

The structure in CIF format:
```
data_BaPt2Au4
_space_group_name_H-M_alt 'C 1 2/m 1'
_space_group_IT_number 12
_cell_length_a 9.070
_cell_length_b 7.161
_cell_length_c 5.581
_cell_angle_alpha 90.00
_cell_angle_beta 127.70
_cell_angle_gamma 90.00
loop_
_space_group_symop_operation_xyz
'x,y,z'
'-x,-y,-z'
'-x,y,-z'
'x,-y,z'
'x+1/2,y+1/2,z'
'-x+1/2,-y+1/2,-z'
'-x+1/2,y+1/2,-z'
'x+1/2,-y+1/2,z'
loop_
_atom_site_label
_atom_site_type_symbol
_atom_site_fract_x
_atom_site_fract_y
_atom_site_fract_z
Ba1 Ba 0.000 0.000 0.000
Pt1 Pt 0.001 0.500 0.250
Au1 Au 0.196 0.197 0.697
```

Properties
- M_tot: 0.00 μB/f.u.
- E_form: -30.55 kJ per mole of atoms
- Energy: -0.1540 Ha/atom

=====

Material: MgGe3Bi
Method: DFT, PBE
State: relaxed

The structure in CIF format:
```
data_MgGe3Bi
_space_group_name_H-M_alt 'P m -3 m'
_space_group_IT_number 221
_space_group_name_Hall '-P 4 2 3'
_cell_length_a 5.056
_cell_length_b 5.056
_cell_length_c 5.056
_cell_angle_alpha 90.00
_cell_angle_beta 90.00
_cell_angle_gamma 90.00
loop_
_atom_site_label
_atom_site_type_symbol
_atom_site_fract_x
_atom_site_fract_y
_atom_site_fract_z
Mg1 Mg 0.000 0.000 0.000
Ge1 Ge 0.000 0.000 0.500
Bi1 Bi 0.500 0.500 0.500
```

Properties
- M_tot: 0.00 μB/f.u.
- E_form: 57.47 kJ per mole of atoms
- Energy: -0.1202 Ha/atom

=====

Material: Eu2HoIn
Method: DFT, PBE
State: relaxed

The structure in CIF format:
```
data_Eu2HoIn
_space_group_name_H-M_alt 'P 4/m m m'
_space_group_IT_number 123
_space_group_name_Hall '-P 4 2'
_cell_length_a 4.911
_cell_length_b 4.911
_cell_length_c 5.193
_cell_angle_alpha 90.00
_cell_angle_beta 90.00
_cell_angle_gamma 90.00
loop_
_atom_site_label
_atom_site_type_symbol
_atom_site_fract_x
_atom_site_fract_y
_atom_site_fract_z
Eu1 Eu 0.000 0.500 0.000
Ho1 Ho 0.000 0.000 0.500
In1 In 0.500 0.500 0.500
```

Properties
- M_tot: 14.33 μB/f.u.
- E_form: -18.71 kJ per mole of atoms
- Energy: -0.2631 Ha/atom

=====

Material: CaTlAg
Method: DFT, PBE
State: relaxed

The structure in CIF format:
```
data_CaTlAg
_space_group_name_H-M_alt 'P -6 m 2'
_space_group_IT_number 187
_space_group_name_Hall 'P -6 2'
_cell_length_a 4.9632
_cell_length_b 4.9632
_cell_length_c 3.6174
_cell_angle_alpha 90.00
_cell_angle_beta 90.00
_cell_angle_gamma 120.00
loop_
_atom_site_label
_atom_site_type_symbol
_atom_site_fract_x
_atom_site_fract_y
_atom_site_fract_z
Ca1 Ca 0.0000 0.0000 0.0000
Tl1 Tl 0.6667 0.3333 0.5000
Ag1 Ag 0.3333 0.6667 0.5000
```

Properties
- M_tot: 0.00 μB/f.u.
- E_form: -29.67 kJ per mole of atoms
- Energy: -0.0997 Ha/atom